FeAg3F8 | PBE with a Hubbard U | relaxed

Cell lengths 6.164, 6.164, 6.654 Å; angles 90.00, 90.00, 125.44 degrees
Positions (direct):
Fe1 0.500 0.500 0.500
F1 0.686 0.314 0.500
F2 0.247 0.284 0.289
F3 0.716 0.753 0.711
F4 0.284 0.247 0.711
F5 0.305 0.695 0.000
F6 0.314 0.686 0.500
F7 0.695 0.305 0.000
F8 0.753 0.716 0.289
Ag1 0.000 0.500 0.252
Ag2 0.500 0.000 0.748
Ag3 0.500 0.500 0.000

Summary:
As for the electronic total energy: -47.5 eV for the cell shown. Its symmetry is No. 21.